Entry 1:
The following is a DFT calculation (GGA-PBE) of Tl6SbI12 after structural relaxation.

Unit cell a=9.584 b=9.584 c=9.584 alpha=92.70 beta=92.70 gamma=92.70
Sites, in units of the cell vectors:
Tl 0.164 0.690 0.347
Tl 0.310 0.653 0.836
Tl 0.347 0.164 0.690
Tl 0.653 0.836 0.310
Tl 0.690 0.347 0.164
Tl 0.836 0.310 0.653
Sb 0.000 0.000 0.000
I 0.004 0.015 0.313
I 0.015 0.313 0.004
I 0.165 0.423 0.576
I 0.313 0.004 0.015
I 0.423 0.576 0.165
I 0.424 0.835 0.577
I 0.576 0.165 0.423
I 0.577 0.424 0.835
I 0.687 0.996 0.985
I 0.835 0.577 0.424
I 0.985 0.687 0.996
I 0.996 0.985 0.687

Values from the calculation:
formation energy without anion corrections	-0.40	eV per atom
magnetic moment	0.00	μB/cell
space-group type	No. 148



Entry 2:
The following is a DFT calculation (GGA-PBE) of UAs2Au after structural relaxation.

Unit cell a=4.565 b=4.565 c=3.734 alpha=90.00 beta=90.00 gamma=90.00
Sites, in units of the cell vectors:
U 0.000 0.000 0.000
As 0.000 0.500 0.500
As 0.500 0.000 0.500
Au 0.500 0.500 0.000

Values from the calculation:
energy of formation	-474	meV per atom
magnetic moment	1.33	μB/cell
space-group type	No. 123



Entry 3:
The following is a DFT calculation (GGA-PBE) of AcHo2Ga6 after structural relaxation.

Unit cell a=7.403 b=7.403 c=4.320 alpha=90.00 beta=90.00 gamma=120.00
Sites, in units of the cell vectors:
Ac 0.000 0.000 0.000
Ho 0.333 0.667 0.000
Ho 0.667 0.333 0.000
Ga 0.000 0.338 0.500
Ga 0.000 0.662 0.500
Ga 0.338 0.000 0.500
Ga 0.338 0.338 0.500
Ga 0.662 0.000 0.500
Ga 0.662 0.662 0.500

Values from the calculation:
energy of formation	-587	meV per atom
magnetic moment	0.00	μB/cell
excess energy over the best structure of this formula in the dataset	0	meV per atom
space-group type	No. 191



| no. | raw total energy (Ha/atom) |
| --- | --- |
| 1 | -0.0860 |
| 2 | -0.2367 |
| 3 | -0.1499 |